(1)
Material: EuCoO3
Method: DFT, PBE+U
State: relaxed

Results
Calculated volume in Å³/cell: 226.12
N(E_F) in states/eV per atom: 1.3265
VASP energy in eV/atom: -7.89
Space-group type: Pnma, No. 62

```
20
Lattice="5.425 0.000 0.000 0.000 5.491 0.000 0.000 0.000 7.591" Properties=species:S:1:pos:R:3 pbc="T T T"
O 3.834 4.353 4.081
O 5.014 0.075 1.898
O 4.303 1.607 4.081
O 1.122 3.883 3.510
O 0.411 5.416 5.693
O 4.303 1.607 7.305
O 3.123 2.820 1.898
O 1.591 1.138 0.286
O 3.834 4.353 7.305
O 2.302 2.671 5.693
O 1.122 3.883 0.286
O 1.591 1.138 3.510
Co 2.713 2.745 0.000
Co 0.000 0.000 3.795
Co 0.000 0.000 0.000
Co 2.713 2.745 3.795
Eu 2.758 0.246 5.693
Eu 5.379 2.991 5.693
Eu 0.046 2.500 1.898
Eu 2.667 5.245 1.898
```

=====

(2)
Material: Eu2CoO4
Method: DFT, PBE+U
State: relaxed

Results
Calculated volume in Å³/cell: 401.10
N(E_F) in states/eV per atom: 3.3419
VASP energy in eV/atom: -8.71
Space-group type: P2_1/c, No. 14

```
28
Lattice="-5.612 4.436 -0.420 -3.506 -4.223 2.252 -0.903 -0.153 10.462" Properties=species:S:1:pos:R:3 pbc="T T T"
Co -5.432 2.803 6.107
Co -5.444 -2.501 11.388
Co -4.577 2.561 0.906
Co -4.590 -2.743 6.187
O -6.347 2.761 9.717
O -2.281 0.122 3.514
O -4.456 -1.164 5.142
O -7.077 -0.154 3.565
O -7.741 -0.062 8.781
O -6.174 2.138 1.842
O -4.742 1.926 4.572
O -6.467 -1.005 11.276
O -5.566 1.223 7.152
O -3.555 1.065 1.018
O -1.513 -0.983 6.436
O -2.945 0.213 8.729
O -5.280 -1.866 7.723
O -3.847 -2.078 10.452
O -3.675 -2.701 2.578
O -8.509 1.043 5.858
Eu -8.423 0.302 11.188
Eu -3.232 0.615 6.249
Eu -4.728 0.037 3.011
Eu -2.426 -2.216 8.449
Eu -7.596 2.276 3.846
Eu -6.790 -0.555 6.045
Eu -5.294 0.022 9.283
Eu -1.599 -0.243 1.106
```

=====

(3)
Material: EuCoO3
Method: DFT, PBE+U
State: relaxed

Results
Calculated volume in Å³/cell: 55.67
N(E_F) in states/eV per atom: 2.3669
VASP energy in eV/atom: -7.76
Space-group type: Pm-3m, No. 221

```
5
Lattice="-1.648 -1.501 3.100 -0.086 -3.418 -1.700 3.443 -0.804 1.441" Properties=species:S:1:pos:R:3 pbc="T T T"
Eu 0.855 -2.861 1.421
Co 0.000 0.000 0.000
O -0.824 -0.750 1.550
O 1.722 -0.402 0.721
O -0.043 -1.709 -0.850
```